This record from Alexandria describes a relaxed structure of Ac4TmAg5. The functional is PBE-GGA.

Output
Energy relative to the elements: -0.2607 eV/atom
Crystal system: tetragonal
Spin magnetization: 0.0 μB per formula unit
Space group: P4/mmm, No. 123

Unit cell a=3.8649 b=3.8649 c=19.6770 alpha=90.00 beta=90.00 gamma=90.00
Sites, in units of the cell vectors:
1 Ag 0.5000 0.5000 0.5000
2 Ag 0.5000 0.5000 0.7072
3 Ag 0.5000 0.5000 0.2928
4 Ag 0.5000 0.5000 0.9207
5 Ag 0.5000 0.5000 0.0793
6 Tm 0.0000 0.0000 0.0000
7 Ac 0.0000 0.0000 0.3966
8 Ac 0.0000 0.0000 0.8109
9 Ac 0.0000 0.0000 0.1891
10 Ac 0.0000 0.0000 0.6034